(1)
Computed, not measured: a relaxed structure of TaCr2Cd at the GGA-PBE level of DFT.

Calculated values
Total DFT energy (no corrections)   -7.478 eV per atom
Volume   16.79 A^3/atom
Space group   No. 166

Structure (POSCAR):
```
TaCr2Cd
1.0
9.102 -0.162 -0.095
8.677 2.752 -0.095
8.677 1.264 2.446
Cr Cd Ta
2 1 1
Cartesian
26.288 3.830 2.243 Cr
13.396 1.952 1.143 Cr
19.842 2.891 1.693 Cd
6.614 0.964 0.564 Ta
```



(2)
Computed, not measured: a relaxed structure of MgCuW2 at the GGA-PBE level of DFT.

Calculated values
Total DFT energy (no corrections)   -7.531 eV per atom
Volume   16.30 A^3/atom
Space group   No. 99

Structure (POSCAR):
```
MgCuW2
1.0
3.255 0.000 0.000
0.000 3.255 0.000
0.000 0.000 6.152
Cu W Mg
1 2 1
Cartesian
0.000 0.000 3.078 Cu
0.000 0.000 0.206 W
1.628 1.628 1.444 W
1.628 1.628 4.500 Mg
```



(3)
Computed, not measured: a relaxed structure of Gd2AsF at the GGA-PBE level of DFT.

Calculated values
Total DFT energy (no corrections)   -10.583 eV per atom
Volume   28.28 A^3/atom
Space group   No. 166
Formation energy without anion corrections   -7.65 eV/f.u.

Structure (POSCAR):
```
Gd2AsF
1.0
-4.032 -0.853 0.252
-1.245 -3.777 1.111
-1.757 0.617 7.804
As F Gd
1 1 2
Cartesian
-3.517 -2.007 4.584 As
0.000 0.000 0.000 F
-5.277 -4.002 3.503 Gd
-1.757 -0.012 5.665 Gd
```



(4)
Computed, not measured: a relaxed structure of GaReMo3 at the GGA-PBE level of DFT.

Calculated values
Total DFT energy (no corrections)   -7.864 eV per atom
Volume   18.20 A^3/atom
E above lowest polymorph   0.1192 eV per atom
Space group   No. 221

Structure (POSCAR):
```
GaReMo3
1.0
-4.043 1.654 1.072
-1.111 -3.932 1.879
1.629 1.424 3.943
Mo Re Ga
3 1 1
Cartesian
-2.021 0.827 0.536 Mo
-0.555 -1.966 0.940 Mo
0.814 0.712 1.972 Mo
-1.762 -0.427 3.447 Re
0.000 0.000 0.000 Ga
```



(5)
Computed, not measured: a relaxed structure of Pr4Tm5Cd at the GGA-PBE level of DFT.

Calculated values
Total DFT energy (no corrections)   -4.283 eV per atom
Volume   31.55 A^3/atom
E above lowest polymorph   0.0000 eV per atom
Space group   No. 123

Structure (POSCAR):
```
Pr4Tm5Cd
1.0
3.621 0.000 0.000
0.000 3.621 0.000
0.000 0.000 24.065
Tm Pr Cd
5 4 1
Cartesian
1.810 1.810 17.069 Tm
1.810 1.810 22.099 Tm
1.810 1.810 1.966 Tm
1.810 1.810 12.033 Tm
1.810 1.810 6.996 Tm
0.000 0.000 19.589 Pr
0.000 0.000 4.476 Pr
0.000 0.000 14.545 Pr
0.000 0.000 9.521 Pr
0.000 0.000 0.000 Cd
```



(6)
Computed, not measured: a relaxed structure of Y3Ho3ScSe8 at the GGA-PBE level of DFT.

Calculated values
Total DFT energy (no corrections)   -6.297 eV per atom
Volume   24.94 A^3/atom
Space group   No. 166
Formation energy without anion corrections   -27.13 eV/f.u.

Structure (POSCAR):
```
Y3Ho3ScSe8
1.0
8.084 0.000 0.000
-4.042 7.001 -0.024
0.000 -4.645 6.626
Se Ho Y Sc
8 3 3 1
Cartesian
6.088 -1.174 1.694 Se
1.995 -1.174 1.694 Se
0.000 -0.010 4.918 Se
-2.047 3.531 4.908 Se
0.000 2.340 1.662 Se
4.042 0.017 4.940 Se
2.047 3.531 4.908 Se
4.042 2.366 1.684 Se
4.042 -2.322 3.313 Ho
-2.021 1.178 3.301 Ho
2.021 1.178 3.301 Ho
2.021 3.501 -0.012 Y
0.000 0.000 0.000 Y
-2.021 3.501 -0.012 Y
0.000 -2.322 3.313 Sc
```



(7)
Computed, not measured: a relaxed structure of TbYTl6 at the GGA-PBE level of DFT.

Calculated values
Total DFT energy (no corrections)   -3.413 eV per atom
Volume   27.18 A^3/atom
Space group   No. 123

Structure (POSCAR):
```
TbYTl6
1.0
-0.005 4.400 1.850
-4.341 -0.774 1.828
3.969 -3.360 8.003
Tl Tb Y
6 1 1
Cartesian
-2.173 1.813 1.839 Tl
-1.177 -1.228 2.916 Tl
0.806 -2.907 6.915 Tl
2.974 -0.320 6.926 Tl
-0.188 0.133 5.841 Tl
0.991 1.359 2.927 Tl
1.985 -1.680 4.001 Tb
0.000 0.000 0.000 Y
```



(8)
Computed, not measured: a relaxed structure of Pu2ZrSb at the GGA-PBE level of DFT.

Calculated values
Total DFT energy (no corrections)   -10.683 eV per atom
Volume   23.84 A^3/atom
Space group   No. 123
Formation energy without anion corrections   -1.40 eV/f.u.

Structure (POSCAR):
```
Pu2ZrSb
1.0
-2.205 -4.280 0.215
3.945 -2.043 -0.233
0.298 0.069 4.438
Pu Zr Sb
2 1 1
Cartesian
0.149 0.035 2.219 Pu
1.972 -1.022 -0.116 Pu
1.019 -3.127 2.210 Zr
-1.102 -2.140 0.107 Sb
```



(9)
Computed, not measured: a relaxed structure of YbFe6 at the GGA-PBE level of DFT.

Calculated values
Total DFT energy (no corrections)   -6.808 eV per atom
Volume   15.63 A^3/atom
Space group   No. 229

Structure (POSCAR):
```
YbFe6
1.0
-1.139 3.218 -3.948
-0.075 -4.934 -1.700
-3.533 0.586 3.797
Fe Yb
6 1
Cartesian
-2.972 -1.223 1.010 Fe
-2.640 1.473 -1.488 Fe
-1.509 -1.945 -2.300 Fe
-2.107 -2.603 -0.364 Fe
-3.238 0.815 0.448 Fe
-1.775 0.093 -2.862 Fe
0.000 0.000 0.000 Yb
```



(10)
Computed, not measured: a relaxed structure of La4Nd5Dy2 at the GGA-PBE level of DFT.

Calculated values
Total DFT energy (no corrections)   -4.721 eV per atom
Volume   35.31 A^3/atom
E above lowest polymorph   0.0000 eV per atom
Space group   No. 12

Structure (POSCAR):
```
La4Nd5Dy2
1.0
3.545 0.000 -0.669
-0.228 11.881 -1.205
-0.096 0.260 9.212
Nd Dy La
5 2 4
Cartesian
2.638 11.168 4.249 Nd
0.200 6.458 1.059 Nd
0.583 0.974 3.088 Nd
3.021 5.684 6.278 Nd
1.773 0.000 -0.335 Nd
0.805 7.718 4.262 Dy
2.416 4.424 3.075 Dy
3.147 8.994 6.943 La
1.155 2.615 6.115 La
0.074 3.148 0.394 La
2.066 9.527 1.222 La
```



(11)
Computed, not measured: a relaxed structure of Ce6Ga2Si at the GGA-PBE level of DFT.

Calculated values
Total DFT energy (no corrections)   -5.503 eV per atom
Volume   21.85 A^3/atom
E above lowest polymorph   0.0260 eV per atom
Space group   No. 191
Formation energy without anion corrections   -2.44 eV/f.u.

Structure (POSCAR):
```
Ce6Ga2Si
1.0
-0.485 0.445 -2.887
8.601 -0.601 -1.537
-5.008 -7.179 -0.266
Si Ga Ce
1 2 6
Cartesian
0.000 0.000 0.000 Si
3.580 -2.349 -4.000 Ga
-0.472 -4.987 -0.690 Ga
2.173 -5.009 -2.655 Ce
2.576 0.025 -1.947 Ce
0.532 -7.361 -2.743 Ce
-1.883 -2.130 -1.530 Ce
0.935 -2.327 -2.034 Ce
-3.610 -4.604 -1.622 Ce
```



(12)
Computed, not measured: a relaxed structure of Ce2ErOs at the GGA-PBE level of DFT.

Calculated values
Total DFT energy (no corrections)   -6.887 eV per atom
Volume   25.06 A^3/atom
E above lowest polymorph   0.1799 eV per atom
Space group   No. 123

Structure (POSCAR):
```
Ce2ErOs
1.0
3.725 0.000 0.000
0.000 3.725 0.000
0.000 0.000 7.223
Ce Os Er
2 1 1
Cartesian
0.000 0.000 5.820 Ce
0.000 0.000 1.403 Ce
1.863 1.863 0.000 Os
1.863 1.863 3.612 Er
```